# 1
# NaCoSb3 (GGA-PBE, relaxed)
data_NaCoSb3
_chemical_formula_sum 'Na1 Co1 Sb3'
_cell_length_a 5.304
_cell_length_b 5.304
_cell_length_c 5.304
_cell_angle_alpha 90.00
_cell_angle_beta 90.00
_cell_angle_gamma 90.00
_space_group_name_H-M_alt 'P m -3 m'
_space_group_IT_number 221
_space_group_name_Hall '-P 4 2 3'
loop_
_atom_site_label
_atom_site_fract_x
_atom_site_fract_y
_atom_site_fract_z
Na1 0.000 0.000 0.000
Co1 0.500 0.500 0.500
Sb1 0.000 0.000 0.500
# E above lowest polymorph in eV per atom: 1.1936
# Electronic total energy in eV/f.u.: -14.065
# Uncorrected formation energy in meV per atom: 1345
# V in Å³ per cell: 149

---

# 2
# NaCo2Sb2 (GGA-PBE, relaxed)
data_NaCo2Sb2
_chemical_formula_sum 'Na2 Co4 Sb4'
_cell_length_a 7.585
_cell_length_b 7.585
_cell_length_c 3.068
_cell_angle_alpha 90.00
_cell_angle_beta 90.00
_cell_angle_gamma 90.00
_space_group_name_H-M_alt 'P 4/m b m'
_space_group_IT_number 127
_space_group_name_Hall '-P 4 2ab'
loop_
_atom_site_label
_atom_site_fract_x
_atom_site_fract_y
_atom_site_fract_z
Na1 0.000 0.000 0.000
Co1 0.126 0.374 0.000
Sb1 0.161 0.661 0.500
# Electronic total energy in eV/f.u.: -23.483
# Uncorrected formation energy in meV per atom: 59
# V in Å³ per cell: 177

---

# 3
# NaCoSb2 (GGA-PBE, relaxed)
data_NaCoSb2
_chemical_formula_sum 'Na4 Co4 Sb8'
_cell_length_a 6.818
_cell_length_b 6.818
_cell_length_c 6.818
_cell_angle_alpha 90.00
_cell_angle_beta 90.00
_cell_angle_gamma 90.00
_space_group_name_H-M_alt 'F m -3 m'
_space_group_IT_number 225
_space_group_name_Hall '-F 4 2 3'
loop_
_atom_site_label
_atom_site_fract_x
_atom_site_fract_y
_atom_site_fract_z
Na1 0.000 0.000 0.000
Co1 0.000 0.000 0.500
Sb1 0.250 0.250 0.250
# E above lowest polymorph in eV per atom: 0.3187
# Electronic total energy in eV/f.u.: -15.967
# Uncorrected formation energy in meV per atom: 176
# V in Å³ per cell: 317

---

# 4
# NaCoSb3 (GGA-PBE, relaxed)
data_NaCoSb3
_chemical_formula_sum 'Na1 Co1 Sb3'
_cell_length_a 5.069
_cell_length_b 5.069
_cell_length_c 5.069
_cell_angle_alpha 90.00
_cell_angle_beta 90.00
_cell_angle_gamma 90.00
_space_group_name_H-M_alt 'P m -3 m'
_space_group_IT_number 221
_space_group_name_Hall '-P 4 2 3'
loop_
_atom_site_label
_atom_site_fract_x
_atom_site_fract_y
_atom_site_fract_z
Na1 0.000 0.000 0.000
Co1 0.500 0.500 0.500
Sb1 0.000 0.500 0.500
# E above lowest polymorph in eV per atom: 0.0000
# Electronic total energy in eV/f.u.: -20.033
# Uncorrected formation energy in meV per atom: 152
# V in Å³ per cell: 130

---

# 5
# Na3CoSb (GGA-PBE, relaxed)
data_Na3CoSb
_chemical_formula_sum 'Na3 Co1 Sb1'
_cell_length_a 5.874
_cell_length_b 5.874
_cell_length_c 5.874
_cell_angle_alpha 90.00
_cell_angle_beta 90.00
_cell_angle_gamma 90.00
_space_group_name_H-M_alt 'P m -3 m'
_space_group_IT_number 221
_space_group_name_Hall '-P 4 2 3'
loop_
_atom_site_label
_atom_site_fract_x
_atom_site_fract_y
_atom_site_fract_z
Na1 0.000 0.000 0.500
Co1 0.500 0.500 0.500
Sb1 0.000 0.000 0.000
# E above lowest polymorph in eV per atom: 0.0000
# Electronic total energy in eV/f.u.: -11.919
# Uncorrected formation energy in meV per atom: 653
# V in Å³ per cell: 203

---

# 6
# Na2CoSb (GGA-PBE, relaxed)
data_Na2CoSb
_chemical_formula_sum 'Na8 Co4 Sb4'
_cell_length_a 11.300
_cell_length_b 11.300
_cell_length_c 4.707
_cell_angle_alpha 90.00
_cell_angle_beta 90.00
_cell_angle_gamma 90.00
_space_group_name_H-M_alt 'I -4 2 d'
_space_group_IT_number 122
_space_group_name_Hall 'I -4 2bw'
loop_
_atom_site_label
_atom_site_fract_x
_atom_site_fract_y
_atom_site_fract_z
Na1 0.016 0.250 0.125
Co1 0.000 0.000 0.000
Sb1 0.000 0.000 0.500
# Electronic total energy in eV/f.u.: -12.967
# Uncorrected formation energy in meV per atom: 225
# V in Å³ per cell: 601